DFT (PBE with a Hubbard U) results for an optimized crystal structure of RbNi2F8.

It has space group C2/m (No. 12), with a = 6.071 Å, b = 12.618 Å, c = 3.890 Å, α = 90.00°, β = 90.29° and γ = 90.00°. The asymmetric unit holds Rb at (0.000, 0.000, 0.000), Ni at (0.000, 0.258, 0.500), F at (0.000, 0.258, 0.000), F at (0.040, 0.500, 0.827) and F at (0.235, 0.148, 0.505).

As for the electronic total energy: -3.597 eV/atom.